(1)
DFT (PBE-GGA) results for crystalline Zr3NiGe at its relaxed geometry.

a = 4.8168 Å, b = 4.8168 Å, c = 4.8168 Å
α = 90.00°, β = 90.00°, γ = 90.00°
Last column: nearest neighbours and their distance in Å.
Space group Pm-3m (No. 221)
One atom of each set of equivalent atoms:
1 Zr 0.0000 0.0000 0.5000 (multiplicity 3)  2 Ni 2.41
2 Ni 0.0000 0.0000 0.0000 (multiplicity 1)  6 Zr 2.41
3 Ge 0.5000 0.5000 0.5000 (multiplicity 1)  12 Zr 3.41

* formation energy from the elements: 0.39 eV/f.u.
* energy above the most stable polymorph in this dataset: 0.0 meV/atom


(2)
DFT (PBE-GGA) results for crystalline BeIr2Os at its relaxed geometry.

a = 2.7376 Å, b = 2.7376 Å, c = 24.4843 Å
α = 90.00°, β = 90.00°, γ = 120.00°
Last column: nearest neighbours and their distance in Å.
Space group R-3m (No. 166, hexagonal axes)
One atom of each set of equivalent atoms:
1 Be 0.0000 0.0000 0.0000 (multiplicity 3)  6 Ir 2.45, 6 Be 2.74
2 Ir 0.0000 0.0000 0.2569 (multiplicity 6)  3 Be 2.45, 3 Os 2.72, 6 Ir 2.74
3 Os 0.0000 0.0000 0.5000 (multiplicity 3)  6 Ir 2.72, 6 Os 2.74

* formation energy from the elements: -0.12 eV/f.u.


(3)
DFT (PBE-GGA) results for crystalline LaAg2Br6 at its relaxed geometry.

a = 13.6053 Å, b = 5.0752 Å, c = 9.6709 Å
α = 90.00°, β = 108.82°, γ = 90.00°
Last column: nearest neighbours and their distance in Å.
Space group C2/m (No. 12)
One atom of each set of equivalent atoms:
1 La 0.0000 0.0000 0.0000 (multiplicity 2)  6 Br 2.87-3.11
2 Ag 0.1899 0.0000 0.6256 (multiplicity 4)  4 Br 2.60-2.79
3 Br 0.0230 0.0000 0.7151 (multiplicity 4)  1 Ag 2.68, 1 La 2.87
4 Br 0.1394 0.5000 0.0809 (multiplicity 4)  1 Ag 3.03, 2 La 3.11
5 Br 0.2034 0.5000 0.5768 (multiplicity 4)  3 Ag 2.60-2.79

* energy above the most stable polymorph in this dataset: 0.0 meV/atom
* raw formation energy: -93 kJ per mole of atoms


(4)
DFT (PBE-GGA) results for crystalline Hf6Fe2Pb at its relaxed geometry.

a = 8.5249 Å, b = 8.7749 Å, c = 9.7383 Å
α = 90.00°, β = 90.00°, γ = 90.00°
Last column: nearest neighbours and their distance in Å.
Space group Immm (No. 71)
One atom of each set of equivalent atoms:
1 Hf 0.0000 0.2170 0.2356 (multiplicity 8)  2 Fe 2.53-2.79
2 Hf 0.1893 0.5000 0.1696 (multiplicity 8)  3 Fe 2.51-2.70
3 Hf 0.1957 0.3174 0.5000 (multiplicity 8)  3 Fe 2.65-2.94
4 Fe 0.0000 0.3395 0.0000 (multiplicity 4)  6 Hf 2.53-2.70, 1 Fe 2.82
5 Fe 0.0000 0.5000 0.3665 (multiplicity 4)  8 Hf 2.51-2.79, 1 Fe 2.60
6 Pb 0.0000 0.0000 0.0000 (multiplicity 2)  2 Fe 2.98, 8 Hf 2.98-3.05
7 Pb 0.0000 0.0000 0.5000 (multiplicity 2)  12 Hf 3.12-3.25

* formation energy from the elements: -0.89 eV/f.u.


(5)
DFT (PBE-GGA) results for crystalline BaMgNb2Ir at its relaxed geometry.

a = 5.0509 Å, b = 5.0509 Å, c = 4.8345 Å
α = 90.00°, β = 90.00°, γ = 90.00°
Last column: nearest neighbours and their distance in Å.
Space group P4/mmm (No. 123)
One atom of each set of equivalent atoms:
1 Ba 0.0000 0.0000 0.0000 (multiplicity 1)  8 Nb 3.50, 4 Ir 3.57
2 Mg 0.5000 0.5000 0.5000 (multiplicity 1)  2 Ir 2.42, 4 Nb 2.53
3 Nb 0.0000 0.5000 0.5000 (multiplicity 2)  2 Mg 2.53
4 Ir 0.5000 0.5000 0.0000 (multiplicity 1)  2 Mg 2.42

* formation energy from the elements: 7.06 eV/f.u.


(6)
DFT (PBE-GGA) results for crystalline CsLiCuP at its relaxed geometry.

a = 4.1878 Å, b = 4.1878 Å, c = 18.9620 Å
α = 90.00°, β = 90.00°, γ = 120.00°
Last column: nearest neighbours and their distance in Å.
Space group R3m (No. 160, hexagonal axes)
One atom of each set of equivalent atoms:
1 Cs 0.0000 0.0000 0.0000 (multiplicity 3)  1 Li 3.33, 4 Cu 3.51-3.71
2 Li 0.0000 0.0000 0.8243 (multiplicity 3)  3 P 2.46, 3 Cu 2.47
3 Cu 0.0000 0.0000 0.1849 (multiplicity 3)  3 P 2.42, 3 Li 2.47
4 P 0.0000 0.0000 0.5150 (multiplicity 3)  3 Cu 2.42, 3 Li 2.46

* formation energy from the elements: -1.44 eV/f.u.